Entry from Alexandria: crystalline RbBaY2Au at its relaxed geometry (PBE-GGA).

a b c (Å): 5.5376 5.5376 6.0600
angles (deg): 90.00 90.00 90.00
Last column: nearest neighbours and their distance in Å.
Fractional coordinates of all 5 atoms:
Rb (0.0000, 0.0000, 0.0000)  4 Y 2.77, 2 Ba 3.03
Ba (0.0000, 0.0000, 0.5000)  2 Rb 3.03
Y (0.0000, 0.5000, 0.0000)  2 Rb 2.77
Y (0.5000, 0.0000, 0.0000)  2 Rb 2.77
Au (0.5000, 0.5000, 0.5000)  4 Ba 3.92, 8 Y 4.10

The formation energy is 6.25 eV per formula unit. The value obtained for the mass density is 5.34 Mg/m³.


Entry from Alexandria: crystalline RbBa2YAu at its relaxed geometry (PBE-GGA).

a b c (Å): 6.2969 6.2969 5.6564
angles (deg): 90.00 90.00 90.00
Last column: nearest neighbours and their distance in Å.
Fractional coordinates of all 5 atoms:
Rb (0.0000, 0.0000, 0.0000)  2 Y 2.83, 4 Ba 3.15
Ba (0.0000, 0.5000, 0.0000)  2 Rb 3.15
Ba (0.5000, 0.0000, 0.0000)  2 Rb 3.15
Y (0.0000, 0.0000, 0.5000)  2 Rb 2.83
Au (0.5000, 0.5000, 0.5000)  8 Ba 4.23, 4 Y 4.45

The formation energy is 5.27 eV per formula unit. The value obtained for the mass density is 4.78 Mg/m³.


Entry from Alexandria: crystalline Ba2ReAu at its relaxed geometry (PBE-GGA).

a b c (Å): 3.7479 3.7479 8.6252
angles (deg): 90.00 90.00 90.00
Last column: nearest neighbours and their distance in Å.
Fractional coordinates of all 4 atoms:
Ba (0.0000, 0.0000, 0.2439)  4 Re 3.38, 4 Au 3.45, 4 Ba 3.75
Ba (0.0000, 0.0000, 0.7561)  4 Re 3.38, 4 Au 3.45, 4 Ba 3.75
Re (0.5000, 0.5000, 0.0000)  8 Ba 3.38, 4 Re 3.75
Au (0.5000, 0.5000, 0.5000)  8 Ba 3.45, 4 Au 3.75

The formation energy is 2.32 eV per formula unit. The value obtained for the mass density is 9.02 Mg/m³. For the polymorph energy (0 for the lowest one), the calculation gives 168.9 meV/atom.


Entry from Alexandria: crystalline BaRe3Au at its relaxed geometry (PBE-GGA).

a b c (Å): 4.9941 4.9941 4.9941
angles (deg): 90.00 90.00 90.00
Last column: nearest neighbours and their distance in Å.
Fractional coordinates of all 5 atoms:
Ba (0.0000, 0.0000, 0.0000)  12 Re 3.53
Re (0.0000, 0.5000, 0.5000)  2 Au 2.50
Re (0.5000, 0.0000, 0.5000)  2 Au 2.50
Re (0.5000, 0.5000, 0.0000)  2 Au 2.50
Au (0.5000, 0.5000, 0.5000)  6 Re 2.50

The formation energy is 12.36 eV per formula unit. The value obtained for the mass density is 11.90 Mg/m³. For the polymorph energy (0 for the lowest one), the calculation gives 0.0 meV/atom.


Number 1: total magnetic moment 0.0 μB per formula unit, V 185.83 Å³/cell. Number 2: total magnetic moment 0.0 μB per formula unit, V 224.28 Å³/cell. Number 3: total magnetic moment 1.8 μB per formula unit, V 121.15 Å³/cell. Number 4: total magnetic moment 0.2 μB per formula unit, V 124.56 Å³/cell.